Run P
Computed, not measured: a geometry-optimized TlFe2Te2 structure at the GGA-PBE level of DFT.

```
TlFe2Te2
1.0
-2.626 2.626 4.274
2.626 -2.626 4.274
2.626 2.626 -4.274
Tl Fe Te
1 2 2
direct
0.000 0.000 0.000
0.367 0.367 0.000
0.633 0.633 0.000
0.250 0.750 0.500
0.750 0.250 0.500
```

Computed properties:
Total moment (μB/f.u.): 5.8



Run Q
Computed, not measured: a geometry-optimized TlFe2Te2 structure at the GGA-PBE level of DFT.

```
TlFe2Te2
1.0
-2.011 2.011 7.208
2.011 -2.011 7.208
2.011 2.011 -7.208
Tl Fe Te
1 2 2
direct
0.000 0.000 0.000
0.250 0.750 0.500
0.750 0.250 0.500
0.351 0.351 0.000
0.649 0.649 0.000
```

Computed properties:
Total moment (μB/f.u.): 0.0



Least stable of them? run P.



Run P
Computed, not measured: a geometry-optimized TlFe2Te2 structure at the GGA-PBE level of DFT.

```
TlFe2Te2
1.0
7.843 0.000 0.000
0.000 7.843 0.000
0.000 0.000 3.202
Tl Fe Te
2 4 4
direct
0.000 0.000 0.000
0.500 0.500 0.000
0.122 0.378 0.000
0.378 0.878 0.000
0.622 0.122 0.000
0.878 0.622 0.000
0.145 0.645 0.500
0.355 0.145 0.500
0.645 0.855 0.500
0.855 0.355 0.500
```

Computed properties:
Total moment (μB/f.u.): 0.0



Run Q
Computed, not measured: a geometry-optimized TlFe2Te2 structure at the GGA-PBE level of DFT.

```
TlFe2Te2
1.0
8.614 0.000 0.000
0.000 8.614 0.000
0.000 0.000 3.354
Tl Fe Te
2 4 4
direct
0.000 0.000 0.000
0.500 0.500 0.000
0.095 0.405 0.500
0.405 0.905 0.500
0.595 0.095 0.500
0.905 0.595 0.500
0.150 0.650 0.000
0.350 0.150 0.000
0.650 0.850 0.000
0.850 0.350 0.000
```

Computed properties:
Total moment (μB/f.u.): 5.8



Least stable of them? run P.



Run P
Computed, not measured: a geometry-optimized TlFeTe structure at the GGA-PBE level of DFT.

```
TlFeTe
1.0
3.578 0.000 0.000
-1.789 3.099 0.000
0.000 0.000 6.351
Tl Fe Te
1 1 1
direct
0.000 0.000 0.000
0.667 0.333 0.306
0.333 0.667 0.545
```

Computed properties:
Total moment (μB/f.u.): 2.1



Run Q
Computed, not measured: a geometry-optimized TlFeTe structure at the GGA-PBE level of DFT.

```
TlFeTe
1.0
3.636 0.000 0.000
0.000 3.636 0.000
0.000 0.000 11.484
Tl Fe Te
2 2 2
direct
0.250 0.250 0.105
0.750 0.750 0.895
0.250 0.750 0.500
0.750 0.250 0.500
0.250 0.250 0.664
0.750 0.750 0.336
```

Computed properties:
Total moment (μB/f.u.): 2.3



Run R
Computed, not measured: a geometry-optimized TlFeTe structure at the GGA-PBE level of DFT.

```
TlFeTe
1.0
4.472 0.000 0.000
-2.236 3.873 0.000
0.000 0.000 4.726
Tl Fe Te
1 1 1
direct
0.000 0.000 0.000
0.667 0.333 0.492
0.333 0.667 0.501
```

Computed properties:
Total moment (μB/f.u.): 3.0



Run S
Computed, not measured: a geometry-optimized TlFeTe structure at the GGA-PBE level of DFT.

```
TlFeTe
1.0
0.000 3.358 3.358
3.358 0.000 3.358
3.358 3.358 0.000
Tl Fe Te
1 1 1
direct
0.000 0.000 0.000
0.750 0.750 0.750
0.500 0.500 0.500
```

Computed properties:
Total moment (μB/f.u.): 3.0



Least stable of them? run S.



Run P
Computed, not measured: a geometry-optimized VFe3Te structure at the GGA-PBE level of DFT.

```
VFe3Te
1.0
4.652 0.000 0.000
0.000 4.652 0.000
0.000 0.000 4.652
V Fe Te
1 3 1
direct
0.000 0.000 0.000
0.000 0.500 0.500
0.500 0.000 0.500
0.500 0.500 0.000
0.500 0.500 0.500
```

Computed properties:
Total moment (μB/f.u.): 9.7



Run Q
Computed, not measured: a geometry-optimized VFe3Te structure at the GGA-PBE level of DFT.

```
VFe3Te
1.0
4.391 0.000 0.000
0.000 4.391 0.000
0.000 0.000 4.391
V Fe Te
1 3 1
direct
0.000 0.000 0.000
0.000 0.000 0.500
0.000 0.500 0.000
0.500 0.000 0.000
0.500 0.500 0.500
```

Computed properties:
Total moment (μB/f.u.): 4.6



Least stable of them? run P.